Na2GaSb2 | PBE-GGA | relaxed

Geometry as POSCAR:
```
Na2GaSb2
1.0
9.4113 0.0000 0.0000
0.0000 9.4113 0.0000
0.0000 0.0000 3.1102
Na Ga Sb
4 2 4
direct
0.1209 0.3791 0.0000
0.3791 0.8791 0.0000
0.6209 0.1209 0.0000
0.8791 0.6209 0.0000
0.0000 0.0000 0.0000
0.5000 0.5000 0.0000
0.1770 0.6770 0.5000
0.3230 0.1770 0.5000
0.6770 0.8230 0.5000
0.8230 0.3230 0.5000
```

Uncorrected energy (eV/atom): -2.86
Crystal system: tetragonal
Fermi-level density of states (states/eV per cell): 4.16
Formation energy without anion corrections (eV/atom): -0.076
Excess energy over the best structure of this formula in the dataset (eV per atom): 0.201